[1]
Here is a relaxed structure of V2OsW from Alexandria via LeMat-Bulk. Energies are from PBE-GGA.

The structure in POSCAR format:
```
V2OsW
1.0
-3.4477 3.4477 2.6168
3.4477 -3.4477 2.6168
3.4477 3.4477 -2.6168
V Os W
4 2 2
Direct
0.1115 0.6250 0.9865
0.3750 0.3615 0.4865
0.6385 0.1250 0.0135
0.8750 0.8885 0.5135
0.0000 0.0000 0.0000
0.7500 0.2500 0.5000
0.2500 0.7500 0.5000
0.5000 0.5000 0.0000
```

- N(E_F): 4.6 states/eV/f.u.
- Calculated formation energy: 235 kJ/mol of formula units
- Energy: -10.00 eV/atom
- ρ: 12.70 g/cm³

***

[2]
Here is a relaxed structure of V2OsW from Alexandria via LeMat-Bulk. Energies are from PBE-GGA.

The structure in POSCAR format:
```
V2OsW
1.0
0.0000 3.0503 3.0503
3.0503 0.0000 3.0503
3.0503 3.0503 0.0000
V Os W
2 1 1
Direct
0.2500 0.2500 0.2500
0.7500 0.7500 0.7500
0.0000 0.0000 0.0000
0.5000 0.5000 0.5000
```

- N(E_F): 2.9 states/eV/f.u.
- Calculated formation energy: -97 kJ/mol of formula units
- Energy: -10.86 eV/atom
- ρ: 13.92 g/cm³

***

[3]
Here is a relaxed structure of VOsW3 from Alexandria via LeMat-Bulk. Energies are from PBE-GGA.

The structure in POSCAR format:
```
VOsW3
1.0
4.4389 0.0000 0.0000
0.0000 4.4389 0.0000
0.0000 0.0000 4.4389
V Os W
1 1 3
Direct
0.0000 0.0000 0.0000
0.5000 0.5000 0.5000
0.0000 0.0000 0.5000
0.0000 0.5000 0.0000
0.5000 0.0000 0.0000
```

- ΔE to the lowest computed polymorph: 0.0 meV/atom
- N(E_F): 5.6 states/eV/f.u.
- Calculated formation energy: 871 kJ/mol of formula units
- Energy: -10.04 eV/atom
- ρ: 15.05 g/cm³

***

[4]
Here is a relaxed structure of V3OsW from Alexandria via LeMat-Bulk. Energies are from PBE-GGA.

The structure in POSCAR format:
```
V3OsW
1.0
4.9252 0.0000 0.0000
0.0000 4.5347 0.0000
-1.4827 0.0000 6.4225
V Os W
6 2 2
Direct
0.0000 0.0000 0.0000
0.0000 0.5000 0.0000
0.0508 0.2500 0.3626
0.2668 0.2500 0.7402
0.7332 0.7500 0.2598
0.9492 0.7500 0.6374
0.4953 0.2500 0.1459
0.5047 0.7500 0.8541
0.3365 0.7500 0.4323
0.6635 0.2500 0.5677
```

- ΔE to the lowest computed polymorph: 1.7 meV/atom
- N(E_F): 4.1 states/eV/f.u.
- Calculated formation energy: 6 kJ/mol of formula units
- Energy: -10.30 eV/atom
- ρ: 12.20 g/cm³

***

[5]
Here is a relaxed structure of V4OsW from Alexandria via LeMat-Bulk. Energies are from PBE-GGA.

The structure in POSCAR format:
```
V4OsW
1.0
2.1395 -4.5434 0.0000
2.1395 4.5434 0.0000
0.0000 0.0000 4.2859
V Os W
4 1 1
Direct
0.1674 0.8326 0.0000
0.3320 0.6680 0.5000
0.6680 0.3320 0.5000
0.8326 0.1674 0.0000
0.5000 0.5000 0.0000
0.0000 0.0000 0.5000
```

- ΔE to the lowest computed polymorph: 0.0 meV/atom
- N(E_F): 2.9 states/eV/f.u.
- Calculated formation energy: -150 kJ/mol of formula units
- Energy: -10.37 eV/atom
- ρ: 11.52 g/cm³

***

[6]
Here is a relaxed structure of V7Os2W3 from Alexandria via LeMat-Bulk. Energies are from PBE-GGA.

The structure in POSCAR format:
```
V7Os2W3
1.0
2.1308 -10.2139 0.0000
2.1308 10.2139 0.0000
0.0000 0.0000 4.2571
V Os W
7 2 3
Direct
0.0000 0.0000 0.0000
0.0762 0.9238 0.5000
0.2833 0.7167 0.0000
0.4265 0.5735 0.0000
0.5735 0.4265 0.0000
0.7167 0.2833 0.0000
0.9238 0.0762 0.5000
0.1494 0.8506 0.0000
0.8506 0.1494 0.0000
0.3497 0.6503 0.5000
0.5000 0.5000 0.5000
0.6503 0.3497 0.5000
```

- N(E_F): 13.0 states/eV/f.u.
- Calculated formation energy: 248 kJ/mol of formula units
- Energy: -10.22 eV/atom
- ρ: 11.55 g/cm³